Compound: LiSi2Cl
Source: the Alexandria database
Functional: PBEsol
Structure: optimized geometry

SG: Cm (8)
E_tot (eV for the cell shown): -17.6
E above lowest polymorph (meV per atom): 0
Spin magnetization (μB per atom): 0.00

abc: 3.824 3.824 7.034
angles: 105.70 90.00 120.00
Sites, in units of the cell vectors:
Si 0.056 0.112 0.170
Si 0.689 0.378 0.068
Cl 0.565 0.131 0.695
Li 0.190 0.379 0.567

***

Compound: MgAl2Pb
Source: the Alexandria database
Functional: PBEsol
Structure: optimized geometry

SG: Pmm2 (25)
E_tot (eV for the cell shown): -13.5
Spin magnetization (μB per atom): 0.00
Energy of formation (eV per atom): 0.11

abc: 3.173 3.999 6.768
angles: 90.00 90.00 90.00
Sites, in units of the cell vectors:
Al 0.000 0.000 0.042
Al 0.500 0.500 0.229
Mg 0.000 0.000 0.471
Pb 0.500 0.500 0.758

***

Compound: TaAu2Br
Source: the Alexandria database
Functional: PBEsol
Structure: optimized geometry

SG: P4/mmm (123)
E_tot (eV for the cell shown): -19.7
E above lowest polymorph (meV per atom): 612
Spin magnetization (μB per atom): 0.00

abc: 2.745 5.284 5.284
angles: 90.00 90.00 90.00
Sites, in units of the cell vectors:
Au 0.000 0.000 0.500
Au 0.000 0.500 0.000
Br 0.500 0.500 0.500
Ta 0.500 0.000 0.000

***

Compound: HfBIr2Ru
Source: the Alexandria database
Functional: PBEsol
Structure: optimized geometry

SG: P4/mmm (123)
E_tot (eV for the cell shown): -50.5
Spin magnetization (μB per atom): 0.00
Energy of formation (eV per atom): -0.63

abc: 4.089 4.089 4.110
angles: 90.00 90.00 90.00
Sites, in units of the cell vectors:
Ru 0.000 0.000 0.500
B 0.000 0.000 0.000
Hf 0.500 0.500 0.500
Ir 0.000 0.500 0.000
Ir 0.500 0.000 0.000

***

Which V belongs to each record? In order, 21.150 21.465 19.162 13.747 A^3/atom.